No. 1
# TbHoV2O8

A relaxed structure of TbHoV2O8 (PBE with a Hubbard U, the Alexandria database).

Geometry as extended XYZ:
```
12
Lattice="-3.6055 3.6055 3.1764 3.6055 -3.6055 3.1764 3.6055 3.6055 -3.1764" Properties=species:S:1:pos:R:3 pbc="T T T"
Tb 0.0000 0.0000 0.0000
Ho 3.6055 0.0000 1.5882
V 0.0000 0.0000 3.1764
V 0.0000 3.6055 1.5882
O 2.2673 3.6055 -1.1120
O 1.3382 0.0000 2.0644
O 0.0000 2.2791 0.4646
O 3.6055 2.2673 1.1120
O 0.0000 4.9320 0.4646
O 0.0000 1.3382 4.2884
O -1.3264 3.6055 2.7118
O 1.3264 3.6055 2.7118
```

Its symmetry is I-4m2, No. 119. For the total DFT energy (no corrections), the calculation gives -8.059 eV/atom.

No. 2
# Tb2HoWO8

A relaxed structure of Tb2HoWO8 (PBE with a Hubbard U, the Alexandria database).

Geometry as extended XYZ:
```
12
Lattice="3.5626 -3.6160 0.0000 3.5626 3.6160 0.0000 0.0000 0.0000 6.8194" Properties=species:S:1:pos:R:3 pbc="T T T"
Tb 0.0000 0.0000 1.7045
Tb 0.0000 0.0000 5.1149
Ho 3.5626 0.0000 0.0000
W 3.5626 0.0000 3.4097
O 1.3866 0.0000 0.0000
O 1.6111 0.0000 3.4097
O 3.5626 1.3151 1.9549
O 3.5626 1.3151 4.8645
O 3.5626 -1.3151 1.9549
O 3.5626 -1.3151 4.8645
O 5.5141 0.0000 3.4097
O 5.7387 0.0000 0.0000
```

Its symmetry is Cmmm, No. 65. For the total DFT energy (no corrections), the calculation gives -7.900 eV/atom.